Density functional theory data (PBE) for Nd3TlCo3 after structural relaxation.

Properties
formation energy from the elements	-0.120	eV per atom
size of the total moment	2.591	μB per formula unit
D(E_F)	21.4	states/eV per cell

Cell lengths 3.8555, 10.0675, 10.0675 Å; angles 120.00, 90.00, 90.00 degrees
With the nearest neighbours (Å) after each atom.
Sites, in units of the cell vectors:
Co 0.2500 0.1519 0.1277  6 Co 2.40-2.46
Co 0.7500 0.0242 0.1519  6 Co 2.40-2.46
Co 0.7500 0.8481 0.8723  6 Co 2.40-2.46
Co 0.2500 0.9758 0.8481  6 Co 2.40-2.46
Co 0.2500 0.8723 0.0242  6 Co 2.40-2.46
Co 0.7500 0.1277 0.9758  6 Co 2.40-2.46
Nd 0.2500 0.3089 0.9332  4 Co 2.83-3.07
Nd 0.7500 0.6911 0.0668  4 Co 2.83-3.07
Nd 0.7500 0.9332 0.6243  4 Co 2.83-3.07
Nd 0.2500 0.0668 0.3757  4 Co 2.83-3.07
Nd 0.2500 0.6243 0.6911  4 Co 2.83-3.07
Nd 0.7500 0.3757 0.3089  4 Co 2.83-3.07
Tl 0.7500 0.3333 0.6667  6 Nd 3.41
Tl 0.2500 0.6667 0.3333  6 Nd 3.41



Density functional theory data (PBE) for NaAlTlCd after structural relaxation.

Properties
formation energy from the elements	0.060	eV per atom
size of the total moment	0.000	μB per formula unit
D(E_F)	2.8	states/eV per cell

Cell lengths 5.1201, 5.1201, 5.1201 Å; angles 60.00, 60.00, 60.00 degrees
With the nearest neighbours (Å) after each atom.
Sites, in units of the cell vectors:
Cd 0.5000 0.5000 0.5000  4 Na 3.14, 4 Al 3.14
Tl 0.0000 0.0000 0.0000  4 Na 3.14, 4 Al 3.14
Na 0.2500 0.2500 0.2500  4 Cd 3.14, 4 Tl 3.14
Al 0.7500 0.7500 0.7500  4 Cd 3.14, 4 Tl 3.14



Density functional theory data (PBE) for K2SbP after structural relaxation.

Properties
uncorrected formation energy	-0.10	eV per atom
size of the total moment	0.000	μB per formula unit
energy above the lowest structure with this stoichiometry	244	meV/atom
D(E_F)	7.6	states/eV per cell

Cell lengths 12.4911, 12.4911, 9.2136 Å; angles 47.32, 47.32, 90.00 degrees
With the nearest neighbours (Å) after each atom.
Sites, in units of the cell vectors:
K 0.3750 0.6290 0.7500  2 P 3.19
K 0.3790 0.6250 0.2500  2 P 3.19
K 0.3710 0.1250 0.2500  2 P 3.19
K 0.8750 0.6210 0.7500  2 P 3.19
Sb 0.7500 0.2500 0.5000  2 P 2.62
Sb 0.0000 0.0000 0.0000  2 P 2.62
P 0.2500 0.7500 0.5000  2 Sb 2.62
P 0.5000 0.5000 0.0000  2 Sb 2.62



Density functional theory data (PBE) for Na2B13 after structural relaxation.

Properties
formation energy from the elements	0.537	eV per atom
size of the total moment	0.000	μB per formula unit
D(E_F)	1.7	states/eV per cell

Cell lengths 4.9108, 4.9108, 7.2984 Å; angles 70.34, 70.34, 60.00 degrees
With the nearest neighbours (Å) after each atom.
Sites, in units of the cell vectors:
B 0.5000 0.5000 0.5000  12 B 2.62-2.81, 6 Na 2.93
B 0.1551 0.8099 0.2251  4 B 1.70-1.79
B 0.8573 0.5178 0.1070  5 B 1.67-1.79
B 0.4822 0.4822 0.8930  5 B 1.67-1.79
B 0.8099 0.1551 0.2251  4 B 1.70-1.79
B 0.1427 0.4822 0.8930  5 B 1.67-1.79
B 0.5178 0.8573 0.1070  5 B 1.67-1.79
B 0.8099 0.8099 0.2251  4 B 1.70-1.79
B 0.5178 0.5178 0.1070  5 B 1.67-1.79
B 0.8449 0.1901 0.7749  4 B 1.70-1.79
B 0.4822 0.1427 0.8930  5 B 1.67-1.79
B 0.1901 0.8449 0.7749  4 B 1.70-1.79
B 0.1901 0.1901 0.7749  4 B 1.70-1.79
Na 0.2033 0.2033 0.3901  15 B 2.67-2.93
Na 0.7967 0.7967 0.6099  15 B 2.67-2.93



Density functional theory data (PBE) for K5Na after structural relaxation.

Properties
formation energy from the elements	0.035	eV per atom
size of the total moment	0.000	μB per formula unit
energy above the lowest structure with this stoichiometry	26	meV/atom
D(E_F)	9.2	states/eV per cell

Cell lengths 9.7491, 9.7491, 11.0626 Å; angles 116.14, 116.14, 90.00 degrees
With the nearest neighbours (Å) after each atom.
Sites, in units of the cell vectors:
Na 0.2500 0.2500 0.5000  10 K 4.12-4.33
Na 0.7500 0.7500 0.5000  10 K 4.12-4.33
K 0.3004 0.8004 0.2827  2 Na 4.12, 4 K 4.38-4.52
K 0.0176 0.5176 0.7173  2 Na 4.12, 4 K 4.38-4.52
K 0.1996 0.0176 0.7173  2 Na 4.12, 4 K 4.38-4.52
K 0.5176 0.6996 0.7173  2 Na 4.12, 4 K 4.38-4.52
K 0.5000 0.5000 0.0000  2 Na 4.33, 8 K 4.41
K 0.8004 0.9824 0.2827  2 Na 4.12, 4 K 4.38-4.52
K 0.9824 0.4824 0.2827  2 Na 4.12, 4 K 4.38-4.52
K 0.0000 0.0000 0.0000  2 Na 4.33, 8 K 4.41
K 0.4824 0.3004 0.2827  2 Na 4.12, 4 K 4.38-4.52
K 0.6996 0.1996 0.7173  2 Na 4.12, 4 K 4.38-4.52



Density functional theory data (PBE) for CaSnSbI2 after structural relaxation.

Properties
uncorrected formation energy	-0.16	eV per atom
size of the total moment	0.000	μB per formula unit
energy above the lowest structure with this stoichiometry	0	meV/atom
D(E_F)	5.2	states/eV per cell

Cell lengths 5.9164, 5.9164, 5.8944 Å; angles 90.00, 90.00, 90.00 degrees
With the nearest neighbours (Å) after each atom.
Sites, in units of the cell vectors:
Ca 0.5000 0.5000 0.5000  8 I 4.18, 4 Sb 4.18
I 0.5000 0.0000 0.0000  2 Sn 2.96
I 0.0000 0.5000 0.0000  2 Sn 2.96
Sn 0.0000 0.0000 0.0000  2 Sb 2.95, 4 I 2.96
Sb 0.0000 0.0000 0.5000  2 Sn 2.95



Density functional theory data (PBE) for BaLaHg2 after structural relaxation.

Properties
formation energy from the elements	-0.471	eV per atom
size of the total moment	0.000	μB per formula unit
D(E_F)	2.3	states/eV per cell

Cell lengths 5.7301, 4.0283, 5.7294 Å; angles 90.00, 90.00, 90.00 degrees
With the nearest neighbours (Å) after each atom.
Sites, in units of the cell vectors:
La 0.0000 0.6267 0.3750  8 Hg 3.50-3.51
Hg 0.0000 0.1248 0.8755  4 La 3.50-3.51, 4 Ba 3.50
Hg 0.5000 0.1245 0.3747  4 La 3.50-3.51, 4 Ba 3.50
Ba 0.5000 0.6239 0.8748  8 Hg 3.50



Density functional theory data (PBE) for Pm4TlGaTe2 after structural relaxation.

Properties
uncorrected formation energy	-0.92	eV per atom
size of the total moment	0.000	μB per formula unit
D(E_F)	4.8	states/eV per cell

Cell lengths 4.2761, 7.4056, 8.1875 Å; angles 107.57, 90.00, 90.00 degrees
With the nearest neighbours (Å) after each atom.
Sites, in units of the cell vectors:
Ga 0.5000 0.5000 0.0000  6 Pm 3.10
Te 0.0000 0.5000 0.5000  6 Pm 3.13-3.14
Te 0.5000 0.0000 0.5000  6 Pm 3.19-3.20
Pm 0.5000 0.7429 0.7503  1 Ga 3.10, 3 Te 3.13-3.19, 2 Tl 3.17
Pm 0.5000 0.2571 0.2497  1 Ga 3.10, 3 Te 3.13-3.19, 2 Tl 3.17
Pm 0.0000 0.2591 0.7565  2 Ga 3.10, 3 Te 3.14-3.20, 1 Tl 3.16
Pm 0.0000 0.7409 0.2435  2 Ga 3.10, 3 Te 3.14-3.20, 1 Tl 3.16
Tl 0.0000 0.0000 0.0000  6 Pm 3.16-3.17



Density functional theory data (PBE) for CrFeH after structural relaxation.

Properties
size of the total moment	0.049	μB per formula unit
energy above the lowest structure with this stoichiometry	4	meV/atom
D(E_F)	2.2	states/eV per cell

Cell lengths 2.5756, 2.5756, 4.1237 Å; angles 90.00, 90.00, 120.00 degrees
With the nearest neighbours (Å) after each atom.
Sites, in units of the cell vectors:
Cr 0.0000 0.0000 0.0624  3 H 1.87
H 0.6667 0.3333 0.3386  3 Fe 1.83, 3 Cr 1.87
Fe 0.3333 0.6667 0.5990  3 H 1.83



Density functional theory data (PBE) for CuTeAu2 after structural relaxation.

Properties
uncorrected formation energy	0.14	eV per atom
size of the total moment	0.000	μB per formula unit
D(E_F)	2.5	states/eV per cell

Cell lengths 5.8193, 3.9713, 3.9767 Å; angles 89.61, 70.16, 109.81 degrees
With the nearest neighbours (Å) after each atom.
Sites, in units of the cell vectors:
Au 0.0000 0.5000 0.5000  4 Au 2.80-2.82, 2 Te 2.91, 2 Cu 2.91
Au 0.0000 0.0000 0.0000  4 Au 2.80-2.82, 2 Cu 2.91, 2 Te 2.91
Cu 0.5000 0.5000 0.0000  4 Te 2.80-2.82, 4 Au 2.91
Te 0.5000 0.0000 0.5000  4 Cu 2.80-2.82, 4 Au 2.91



Density functional theory data (PBE) for Y6Ho3Tl after structural relaxation.

Properties
formation energy from the elements	0.026	eV per atom
size of the total moment	0.000	μB per formula unit
energy above the lowest structure with this stoichiometry	66	meV/atom
D(E_F)	28.6	states/eV per cell

Cell lengths 6.1615, 10.8869, 10.8869 Å; angles 119.88, 90.00, 90.00 degrees
With the nearest neighbours (Å) after each atom.
Sites, in units of the cell vectors:
Y 0.3379 0.0582 0.4874  1 Tl 3.10, 5 Y 3.26-3.41, 1 Ho 3.31
Y 0.0331 0.7114 0.6129  5 Y 3.41-3.73, 4 Ho 3.45-3.62
Y 0.6755 0.2663 0.7337  2 Tl 3.08-3.44, 4 Y 3.26-3.29, 1 Ho 3.32
Y 0.3379 0.5126 0.9418  1 Tl 3.10, 5 Y 3.26-3.41, 1 Ho 3.31
Y 0.8379 0.9418 0.5126  1 Tl 3.10, 5 Y 3.26-3.41, 1 Ho 3.31
Y 0.0331 0.3871 0.2886  5 Y 3.41-3.73, 4 Ho 3.45-3.62
Y 0.4391 0.9444 0.0556  1 Tl 3.16, 2 Ho 3.52
Y 0.1755 0.7337 0.2663  2 Tl 3.08-3.44, 4 Y 3.26-3.29, 1 Ho 3.32
Y 0.9391 0.0556 0.9444  1 Tl 3.16, 2 Ho 3.52
Y 0.5331 0.2886 0.3871  5 Y 3.41-3.73, 4 Ho 3.45-3.62
Y 0.5331 0.6129 0.7114  5 Y 3.41-3.73, 4 Ho 3.45-3.62
Y 0.8379 0.4874 0.0582  1 Tl 3.10, 5 Y 3.26-3.41, 1 Ho 3.31
Tl 0.1443 0.2092 0.7908  5 Y 3.08-3.44, 2 Ho 3.29
Tl 0.6443 0.7908 0.2092  5 Y 3.08-3.44, 2 Ho 3.29
Ho 0.5540 0.6084 0.3916  7 Y 3.32-3.63, 1 Tl 3.48
Ho 0.9652 0.7317 0.9433  1 Tl 3.29, 6 Y 3.31-3.55, 1 Ho 3.54
Ho 0.4652 0.9433 0.7317  1 Tl 3.29, 6 Y 3.31-3.55, 1 Ho 3.54
Ho 0.0540 0.3916 0.6084  7 Y 3.32-3.63, 1 Tl 3.48
Ho 0.4652 0.2683 0.0567  1 Tl 3.29, 6 Y 3.31-3.55, 1 Ho 3.54
Ho 0.9652 0.0567 0.2683  1 Tl 3.29, 6 Y 3.31-3.55, 1 Ho 3.54



Density functional theory data (PBE) for NiBiPtAu2 after structural relaxation.

Properties
formation energy from the elements	0.482	eV per atom
size of the total moment	0.838	μB per formula unit
D(E_F)	4.2	states/eV per cell

Cell lengths 4.7868, 4.6587, 4.7868 Å; angles 90.00, 90.00, 90.00 degrees
With the nearest neighbours (Å) after each atom.
Sites, in units of the cell vectors:
Pt 0.0000 0.5000 0.0000  2 Ni 2.33
Au 0.0000 0.0000 0.5000  2 Ni 2.39
Au 0.5000 0.0000 0.0000  2 Ni 2.39
Bi 0.5000 0.5000 0.5000  8 Au 3.34, 4 Pt 3.38
Ni 0.0000 0.0000 0.0000  2 Pt 2.33, 4 Au 2.39